{
  "formula": "Cs2BaTcCl6",
  "functional": "GGA-PBE",
  "state": "optimized geometry",
  "e_tot_ev_per_fu": -40.65,
  "magnetic_moment_mub_per_fu": 1.00,
  "dos_at_fermi_per_ev_atom": 1.080,
  "rho_g_cm3": 3.6,
  "lattice": [[0.000, 5.459, 5.459], [5.459, 0.000, 5.459], [5.459, 5.459, 0.000]],
  "species": ["Cs", "Cs", "Ba", "Tc", "Cl", "Cl", "Cl", "Cl", "Cl", "Cl"],
  "fractional_positions": [[0.250, 0.250, 0.250], [0.750, 0.750, 0.750], [0.000, 0.000, 0.000], [0.500, 0.500, 0.500], [0.275, 0.275, 0.725], [0.275, 0.725, 0.275], [0.275, 0.725, 0.725], [0.725, 0.275, 0.275], [0.725, 0.275, 0.725], [0.725, 0.725, 0.275]]
}

***

{
  "formula": "Cs2BaTeCl6",
  "functional": "GGA-PBE",
  "state": "optimized geometry",
  "e_tot_ev_per_fu": -33.78,
  "magnetic_moment_mub_per_fu": 0.00,
  "dos_at_fermi_per_ev_atom": 0.000,
  "rho_g_cm3": 2.8,
  "lattice": [[-3.966, 3.966, 6.992], [3.966, -3.966, 6.992], [3.966, 3.966, -6.992]],
  "species": ["Cs", "Cs", "Ba", "Te", "Cl", "Cl", "Cl", "Cl", "Cl", "Cl"],
  "fractional_positions": [[0.250, 0.750, 0.500], [0.750, 0.250, 0.500], [0.000, 0.000, 0.000], [0.500, 0.500, 0.000], [0.214, 0.214, 0.000], [0.269, 0.269, 0.538], [0.269, 0.731, 0.000], [0.731, 0.269, 0.000], [0.731, 0.731, 0.462], [0.786, 0.786, 0.000]]
}

***

{
  "formula": "CsBa2TiCl8",
  "functional": "GGA-PBE",
  "state": "optimized geometry",
  "e_tot_ev_per_fu": -52.63,
  "magnetic_moment_mub_per_fu": 1.00,
  "dos_at_fermi_per_ev_atom": 0.503,
  "rho_g_cm3": 3.1,
  "lattice": [[6.610, 0.000, 0.000], [1.358, 6.954, 0.000], [0.441, 3.050, 8.626]],
  "species": ["Cs", "Ba", "Ba", "Ti", "Cl", "Cl", "Cl", "Cl", "Cl", "Cl", "Cl", "Cl"],
  "fractional_positions": [[0.000, 0.000, 0.000], [0.473, 0.355, 0.279], [0.527, 0.645, 0.721], [0.000, 0.000, 0.500], [0.007, 0.283, 0.255], [0.247, 0.759, 0.408], [0.273, 0.101, 0.606], [0.482, 0.260, 0.980], [0.518, 0.740, 0.020], [0.727, 0.899, 0.394], [0.753, 0.241, 0.592], [0.993, 0.717, 0.745]]
}

***

Result set for formation energy (no corrections): -15.6 -15.9 -25.3 eV per formula unit, one per record in the order listed.